# BaSeS2 | Alexandria via LeMat-Bulk | GGA-PBE | relaxed
# E_form (uncorrected), meV/atom: -940
# Symmetry: No. 152
data_BaSeS2
_chemical_formula_sum 'Ba3 Se3 S6'
_space_group_name_H-M_alt 'P 1'
_space_group_IT_number 1
_cell_length_a 5.135
_cell_length_b 5.135
_cell_length_c 18.425
_cell_angle_alpha 90.00
_cell_angle_beta 90.00
_cell_angle_gamma 120.00
loop_
_space_group_symop_operation_xyz
'x,y,z'
loop_
_atom_site_label
_atom_site_type_symbol
_atom_site_fract_x
_atom_site_fract_y
_atom_site_fract_z
Ba1 Ba 0.253 0.253 0.500
Ba2 Ba 0.747 0.000 0.833
Ba3 Ba 0.000 0.747 0.167
S1 S 0.908 0.566 0.570
S2 S 0.566 0.908 0.430
S3 S 0.434 0.342 0.903
S4 S 0.658 0.092 0.237
S5 S 0.342 0.434 0.097
S6 S 0.092 0.658 0.763
Se1 Se 0.140 0.140 0.000
Se2 Se 0.860 0.000 0.333
Se3 Se 0.000 0.860 0.667